Entry from Alexandria: a geometry-optimized Fe2Ru2Rh structure (PBE).

Results
Offset from the most stable computed form = 0.0999 eV/atom
DOS(E_F) = 13.2 states/eV per cell
Theoretical density = 10284 kg/m³

Cell: 7.0377 7.0377 2.7171 Å, 90.00 90.00 90.00°
Last column: nearest neighbours and their distance in Å.
Sites, in units of the cell vectors:
Fe1 0.1684 0.3316 0.0000  6 Ru 2.44-2.51, 2 Fe 2.72
Fe2 0.3316 0.8316 0.0000  6 Ru 2.44-2.51, 2 Fe 2.72
Fe3 0.6684 0.1684 0.0000  6 Ru 2.44-2.51, 2 Fe 2.72
Fe4 0.8316 0.6684 0.0000  6 Ru 2.44-2.51, 2 Fe 2.72
Ru1 0.1285 0.6285 0.5000  6 Fe 2.44-2.51, 3 Ru 2.56-2.72
Ru2 0.3715 0.1285 0.5000  6 Fe 2.44-2.51, 3 Ru 2.56-2.72
Ru3 0.6285 0.8715 0.5000  6 Fe 2.44-2.51, 3 Ru 2.56-2.72
Ru4 0.8715 0.3715 0.5000  6 Fe 2.44-2.51, 3 Ru 2.56-2.72
Rh1 0.0000 0.0000 0.5000  2 Rh 2.72, 4 Ru 2.77, 8 Fe 2.95
Rh2 0.5000 0.5000 0.5000  2 Rh 2.72, 4 Ru 2.77, 8 Fe 2.95